This record from Alexandria describes an optimized crystal structure of YHg. The functional is PBE-GGA.

Properties
Its calculated density is 9.30 g/cm3. The calculation puts the formation energy at -5 kJ/mol of formula units. As for the space group: Fd-3m. The value obtained for the density of states at the Fermi level is 4.98 states/eV/cell.

The structure in POSCAR format:
```
YHg
1.0
5.267 0.000 0.000
2.634 4.561 0.000
2.634 1.520 4.301
Hg Y
2 2
direct
0.000 0.000 0.000 Hg
0.250 0.250 0.250 Hg
0.750 0.750 0.750 Y
0.500 0.500 0.500 Y
```



This record from Alexandria describes an optimized crystal structure of CrAs2. The functional is PBE-GGA.

Properties
Its calculated density is 6.73 g/cm3. The calculation puts the formation energy at -3 kJ/mol of formula units. As for the space group: Cmcm. The value obtained for the density of states at the Fermi level is 3.18 states/eV/cell.

The structure in POSCAR format:
```
CrAs2
1.0
2.812 4.037 4.210
-4.902 -1.292 -4.028
-2.320 -1.996 3.464
As Cr
4 2
direct
0.657 0.343 0.750 As
0.343 0.657 0.250 As
0.050 0.950 0.250 As
0.950 0.050 0.750 As
0.301 0.699 0.750 Cr
0.699 0.301 0.250 Cr
```



This record from Alexandria describes an optimized crystal structure of CsSr2TmF8. The functional is PBE-GGA.

Properties
Its calculated density is 4.98 g/cm3. As for the space group: P2/m. The value obtained for the density of states at the Fermi level is 0.00 states/eV/cell. The formation energy from raw total energies is -3.748 eV/atom.

The structure in POSCAR format:
```
CsSr2TmF8
1.0
4.208 -0.128 -0.001
-0.061 5.999 -0.006
0.003 0.009 8.309
F Sr Cs Tm
8 2 1 1
direct
0.990 0.252 0.194 F
0.010 0.748 0.806 F
0.516 0.792 0.000 F
0.484 0.208 0.000 F
0.010 0.748 0.194 F
0.990 0.252 0.806 F
0.480 0.706 0.500 F
0.520 0.294 0.500 F
0.500 0.500 0.247 Sr
0.500 0.500 0.753 Sr
0.000 0.000 0.500 Cs
0.000 0.000 0.000 Tm
```